Here is Nb3GaRe after structural relaxation from the Alexandria database. Energies are from PBE.

abc: 4.856 4.856 4.856
angles: 90.00 90.00 90.00
Fractional positions:
Nb: 0.000 0.000 0.500
Nb: 0.500 0.000 0.000
Nb: 0.000 0.500 0.000
Ga: 0.500 0.500 0.500
Re: 0.000 0.000 0.000

Output
For the volume, the calculation gives 22.9 A^3/atom. The calculated formation energy comes out at 1075 meV per atom. The calculation puts the distance to the lowest polymorph of the same formula at 0.0 meV per atom. The density of states at the Fermi level comes out at 4.67 states/eV/f.u. The value obtained for the total magnetization is 0.0 μB/cell.